DFT (PBE) results for crystalline NdGdCuTc at its relaxed geometry.

Calculated values
M_tot   7.0 μB per formula unit
Formation energy   0.0145 eV per atom
Space group   F-43m
Calculated volume   347.6 Å³/cell

a = 7.0313 Å, b = 7.0313 Å, c = 7.0313 Å
α = 90.00°, β = 90.00°, γ = 90.00°
With the nearest neighbours (Å) after each atom.
Element x y z (fractional)
1 Nd 0.0000 0.0000 0.0000  4 Tc 3.04, 4 Cu 3.04
2 Nd 0.0000 0.5000 0.5000  4 Tc 3.04, 4 Cu 3.04
3 Nd 0.5000 0.0000 0.5000  4 Tc 3.04, 4 Cu 3.04
4 Nd 0.5000 0.5000 0.0000  4 Tc 3.04, 4 Cu 3.04
5 Gd 0.0000 0.0000 0.5000  4 Cu 3.04, 4 Tc 3.04
6 Gd 0.0000 0.5000 0.0000  4 Cu 3.04, 4 Tc 3.04
7 Gd 0.5000 0.0000 0.0000  4 Cu 3.04, 4 Tc 3.04
8 Gd 0.5000 0.5000 0.5000  4 Cu 3.04, 4 Tc 3.04
9 Cu 0.2500 0.2500 0.7500  4 Gd 3.04, 4 Nd 3.04
10 Cu 0.2500 0.7500 0.2500  4 Gd 3.04, 4 Nd 3.04
11 Cu 0.7500 0.2500 0.2500  4 Gd 3.04, 4 Nd 3.04
12 Cu 0.7500 0.7500 0.7500  4 Gd 3.04, 4 Nd 3.04
13 Tc 0.2500 0.2500 0.2500  4 Gd 3.04, 4 Nd 3.04
14 Tc 0.2500 0.7500 0.7500  4 Gd 3.04, 4 Nd 3.04
15 Tc 0.7500 0.2500 0.7500  4 Gd 3.04, 4 Nd 3.04
16 Tc 0.7500 0.7500 0.2500  4 Gd 3.04, 4 Nd 3.04

---

DFT (PBE) results for crystalline GdCu2Ni at its relaxed geometry.

Calculated values
M_tot   7.2 μB per formula unit
Formation energy   -0.1708 eV per atom
Space group   R-3m
Calculated volume   205.2 Å³/cell

a = 4.1299 Å, b = 4.1299 Å, c = 13.8946 Å
α = 90.00°, β = 90.00°, γ = 120.00°
With the nearest neighbours (Å) after each atom.
Element x y z (fractional)
1 Gd 0.0000 0.0000 0.0000  8 Cu 2.83-2.99
2 Gd 0.3333 0.6667 0.6667  8 Cu 2.83-2.99
3 Gd 0.6667 0.3333 0.3333  8 Cu 2.83-2.99
4 Cu 0.0000 0.0000 0.2034  3 Ni 2.44, 3 Cu 2.59
5 Cu 0.0000 0.0000 0.7966  3 Ni 2.44, 3 Cu 2.59
6 Cu 0.3333 0.6667 0.4633  3 Ni 2.44, 3 Cu 2.59
7 Cu 0.3333 0.6667 0.8701  3 Ni 2.44, 3 Cu 2.59
8 Cu 0.6667 0.3333 0.1299  3 Ni 2.44, 3 Cu 2.59
9 Cu 0.6667 0.3333 0.5367  3 Ni 2.44, 3 Cu 2.59
10 Ni 0.0000 0.0000 0.5000  6 Cu 2.44
11 Ni 0.3333 0.6667 0.1667  6 Cu 2.44
12 Ni 0.6667 0.3333 0.8333  6 Cu 2.44

---

DFT (PBE) results for crystalline GdCuNi4 at its relaxed geometry.

Calculated values
M_tot   5.8 μB per formula unit
Formation energy   -0.2467 eV per atom
Space group   F-43m
Calculated volume   82.3 Å³/cell

a = 4.8831 Å, b = 4.8831 Å, c = 4.8831 Å
α = 60.00°, β = 60.00°, γ = 60.00°
With the nearest neighbours (Å) after each atom.
Element x y z (fractional)
1 Gd 0.0000 0.0000 0.0000  12 Ni 2.87, 4 Cu 2.99
2 Cu 0.7500 0.7500 0.7500  12 Ni 2.86, 4 Gd 2.99
3 Ni 0.3761 0.3761 0.3761  6 Ni 2.42-2.46
4 Ni 0.3761 0.3761 0.8718  6 Ni 2.42-2.46
5 Ni 0.3761 0.8718 0.3761  6 Ni 2.42-2.46
6 Ni 0.8718 0.3761 0.3761  6 Ni 2.42-2.46

---

DFT (PBE) results for crystalline GdCuNi2 at its relaxed geometry.

Calculated values
M_tot   7.1 μB per formula unit
Formation energy   -0.1437 eV per atom
Space group   P4/mmm
Calculated volume   60.6 Å³/cell

a = 4.0363 Å, b = 4.0363 Å, c = 3.7208 Å
α = 90.00°, β = 90.00°, γ = 90.00°
With the nearest neighbours (Å) after each atom.
Element x y z (fractional)
1 Gd 0.0000 0.0000 0.0000  8 Ni 2.74, 4 Cu 2.85
2 Cu 0.5000 0.5000 0.0000  8 Ni 2.74, 4 Gd 2.85
3 Ni 0.0000 0.5000 0.5000  4 Gd 2.74, 4 Cu 2.74, 4 Ni 2.85
4 Ni 0.5000 0.0000 0.5000  4 Gd 2.74, 4 Cu 2.74, 4 Ni 2.85

---

Number 1: D(E_F) 16.563 states/eV/cell. Number 2: D(E_F) 7.635 states/eV/cell. Number 3: D(E_F) 6.909 states/eV/cell. Number 4: D(E_F) 1.520 states/eV/cell.